# 1
The following is a DFT calculation (PBE-GGA) of a geometry-optimized Mn2TlBr structure.

Cell lengths 3.474, 5.863, 8.629 Å; angles 90.00, 90.00, 90.00 degrees
Space group Cmmm (No. 65)
Inequivalent atoms, fractional coordinates:
Mn 0.000 0.000 0.242 [4 per cell]
Tl 0.000 0.500 0.500 [2 per cell]
Br 0.000 0.500 0.000 [2 per cell]

Summary:
Raw total energy (eV/atom): -5.181
ΔE_f (raw) (eV per atom): 0.414
Fermi-level density of states (states/eV per cell): 5.5



# 2
The following is a DFT calculation (PBE-GGA) of a geometry-optimized Mn2TlBr structure.

Cell lengths 3.968, 3.968, 11.182 Å; angles 90.00, 90.00, 90.00 degrees
Space group I-4m2 (No. 119)
Inequivalent atoms, fractional coordinates:
Mn 0.000 0.000 0.000 [2 per cell]
Mn 0.000 0.500 0.250 [2 per cell]
Tl 0.000 0.500 0.750 [2 per cell]
Br 0.000 0.000 0.500 [2 per cell]

Summary:
Raw total energy (eV/atom): -5.070
ΔE_f (raw) (eV per atom): 0.524
Fermi-level density of states (states/eV per cell): 5.3



# 3
The following is a DFT calculation (PBE-GGA) of a geometry-optimized Mn2TlBr structure.

Cell lengths 4.000, 3.352, 6.844 Å; angles 90.00, 90.06, 90.00 degrees
Space group P2/m (No. 10)
Inequivalent atoms, fractional coordinates:
Mn 0.001 0.000 0.192 [2 per cell]
Tl 0.500 0.500 0.000 [1 per cell]
Br 0.000 0.500 0.500 [1 per cell]

Summary:
Raw total energy (eV/atom): -5.297
ΔE_f (raw) (eV per atom): 0.298
Fermi-level density of states (states/eV per cell): 3.0



# 4
The following is a DFT calculation (PBE-GGA) of a geometry-optimized MnTl5Br8 structure.

Cell lengths 9.764, 9.764, 10.822 Å; angles 90.00, 90.00, 90.00 degrees
Space group I-4 (No. 82)
Inequivalent atoms, fractional coordinates:
Mn 0.000 0.000 0.000 [2 per cell]
Tl 0.000 0.500 0.250 [2 per cell]
Tl 0.119 0.773 0.636 [8 per cell]
Br 0.048 0.763 0.957 [8 per cell]
Br 0.081 0.807 0.339 [8 per cell]

Summary:
Raw total energy (eV/atom): -3.222
ΔE_f (raw) (eV per atom): -0.766



# 5
The following is a DFT calculation (PBE-GGA) of a geometry-optimized Mn2Tl3Br7 structure.

Cell lengths 5.397, 27.109, 5.300 Å; angles 90.00, 90.00, 90.00 degrees
Space group Cmmm (No. 65)
Inequivalent atoms, fractional coordinates:
Mn 0.000 0.102 0.000 [4 per cell]
Tl 0.000 0.323 0.500 [4 per cell]
Tl 0.000 0.500 0.500 [2 per cell]
Br 0.000 0.000 0.000 [2 per cell]
Br 0.000 0.096 0.500 [4 per cell]
Br 0.000 0.196 0.000 [4 per cell]
Br 0.000 0.404 0.000 [4 per cell]

Summary:
Raw total energy (eV/atom): -3.866
ΔE_f (raw) (eV per atom): -0.770



# 6
The following is a DFT calculation (PBE-GGA) of a geometry-optimized MnTlBr structure.

Cell lengths 4.8262, 4.8262, 3.8787 Å; angles 90.00, 90.00, 120.00 degrees
Space group P3m1 (No. 156)
Inequivalent atoms, fractional coordinates:
Mn 0.0000 0.0000 0.0000 [1 per cell]
Tl 0.3333 0.6667 0.5006 [1 per cell]
Br 0.6667 0.3333 0.0013 [1 per cell]

Summary:
Raw total energy (eV/atom): -4.165
ΔE_f (raw) (eV per atom): 0.238
Fermi-level density of states (states/eV per cell): 2.6



# 7
The following is a DFT calculation (PBE-GGA) of a geometry-optimized MnTl3Br structure.

Cell lengths 6.014, 6.014, 6.014 Å; angles 90.00, 90.00, 90.00 degrees
Space group Pm-3m (No. 221)
Inequivalent atoms, fractional coordinates:
Mn 0.000 0.000 0.000 [1 per cell]
Tl 0.000 0.500 0.500 [3 per cell]
Br 0.500 0.500 0.500 [1 per cell]

Summary:
Raw total energy (eV/atom): -3.034
ΔE_f (raw) (eV per atom): 0.554
Fermi-level density of states (states/eV per cell): 3.8



# 8
The following is a DFT calculation (PBE-GGA) of a geometry-optimized MnTlBr structure.

Cell lengths 3.831, 5.880, 15.276 Å; angles 90.00, 90.00, 90.00 degrees
Space group Fmm2 (No. 42)
Inequivalent atoms, fractional coordinates:
Mn 0.000 0.000 0.000 [4 per cell]
Tl 0.000 0.000 0.651 [4 per cell]
Br 0.000 0.000 0.389 [4 per cell]

Summary:
Raw total energy (eV/atom): -4.328
ΔE_f (raw) (eV per atom): 0.075
Fermi-level density of states (states/eV per cell): 7.5



Quick rundown of V, same order as above: 22.0; 22.0; 22.9; 36.9; 32.3; 26.1; 43.5; 28.7 Å³ per atom